1.
First-principles (PBE) data for a relaxed structure of Mg2Zn5Ni2Pt, as listed in Alexandria.

Values from the calculation:
symmetry	P4/mbm (127)
formation enthalpy at 0 K	-0.301	eV/atom

Lattice parameters (Å, degrees): 3.841 8.793 8.793 90.00 90.00 90.00
Sites, in units of the cell vectors:
Mg 0.000 0.676 0.176
Mg 0.000 0.324 0.824
Mg 0.000 0.176 0.324
Mg 0.000 0.824 0.676
Zn 0.500 0.203 0.070
Zn 0.500 0.797 0.930
Zn 0.500 0.070 0.797
Zn 0.500 0.703 0.430
Zn 0.500 0.930 0.203
Zn 0.500 0.297 0.570
Zn 0.500 0.570 0.703
Zn 0.500 0.430 0.297
Zn 0.500 0.500 0.000
Zn 0.500 0.000 0.500
Ni 0.000 0.118 0.618
Ni 0.000 0.882 0.382
Ni 0.000 0.618 0.882
Ni 0.000 0.382 0.118
Pt 0.000 0.000 0.000
Pt 0.000 0.500 0.500

***

2.
First-principles (PBE) data for a relaxed structure of PuMgNi, as listed in Alexandria.

Values from the calculation:
symmetry	Fmmm (69)
formation enthalpy at 0 K	-0.109	eV/atom

Lattice parameters (Å, degrees): 5.443 5.443 5.299 104.05 104.05 121.82
Sites, in units of the cell vectors:
Mg 0.668 0.332 0.000
Mg 0.332 0.668 0.000
Pu 0.832 0.832 0.664
Pu 0.168 0.168 0.336
Ni 0.750 0.250 0.500
Ni 0.250 0.750 0.500

***

3.
First-principles (PBE) data for a relaxed structure of Pu3MgNi8, as listed in Alexandria.

Values from the calculation:
symmetry	R3m (160)
formation enthalpy at 0 K	-0.263	eV/atom

Lattice parameters (Å, degrees): 4.995 4.995 8.643 73.20 73.20 60.00
Sites, in units of the cell vectors:
Pu 0.375 0.375 0.875
Pu 0.000 0.000 0.999
Pu 0.500 0.500 0.499
Mg 0.875 0.875 0.374
Ni 0.935 0.436 0.193
Ni 0.442 0.938 0.683
Ni 0.436 0.436 0.193
Ni 0.938 0.938 0.683
Ni 0.188 0.188 0.437
Ni 0.687 0.687 0.939
Ni 0.436 0.935 0.193
Ni 0.938 0.442 0.683

***

4.
First-principles (PBE) data for a relaxed structure of Pu2MgNi, as listed in Alexandria.

Values from the calculation:
offset from the most stable computed form	0.311	eV per atom
symmetry	R-3m (166)
formation enthalpy at 0 K	0.351	eV/atom

Lattice parameters (Å, degrees): 2.951 2.951 11.175 82.41 82.41 60.00
Sites, in units of the cell vectors:
Ni 0.500 0.500 0.500
Mg 0.000 0.000 0.000
Pu 0.097 0.097 0.709
Pu 0.903 0.903 0.291

***

5.
First-principles (PBE) data for a relaxed structure of Pu2MgNi, as listed in Alexandria.

Values from the calculation:
offset from the most stable computed form	0.000	eV per atom
symmetry	P4/mmm (123)
formation enthalpy at 0 K	0.040	eV/atom

Lattice parameters (Å, degrees): 3.171 3.171 8.804 90.00 90.00 90.00
Sites, in units of the cell vectors:
Ni 0.500 0.500 0.000
Mg 0.500 0.500 0.500
Pu 0.000 0.000 0.797
Pu 0.000 0.000 0.203

***

6.
First-principles (PBE) data for a relaxed structure of PuMgNi, as listed in Alexandria.

Values from the calculation:
symmetry	I4mm (107)
formation enthalpy at 0 K	-0.034	eV/atom

Lattice parameters (Å, degrees): 3.113 3.113 6.363 104.16 104.16 90.00
Sites, in units of the cell vectors:
Ni 0.659 0.659 0.318
Mg 0.032 0.032 0.063
Pu 0.309 0.309 0.619

***

7.
First-principles (PBE) data for a relaxed structure of PuMgNi2, as listed in Alexandria.

Values from the calculation:
symmetry	P4/mmm (123)
formation enthalpy at 0 K	-0.081	eV/atom

Lattice parameters (Å, degrees): 3.130 3.130 6.641 90.00 90.00 90.00
Sites, in units of the cell vectors:
Ni 0.000 0.000 0.720
Ni 0.000 0.000 0.280
Mg 0.500 0.500 0.500
Pu 0.500 0.500 0.000

***

8.
First-principles (PBE) data for a relaxed structure of PuMgNiRh, as listed in Alexandria.

Values from the calculation:
symmetry	F-43m (216)
formation enthalpy at 0 K	-0.252	eV/atom

Lattice parameters (Å, degrees): 4.632 4.632 4.632 60.00 60.00 60.00
Sites, in units of the cell vectors:
Ni 0.000 0.000 0.000
Mg 0.250 0.250 0.250
Rh 0.500 0.500 0.500
Pu 0.750 0.750 0.750

***

9.
First-principles (PBE) data for a relaxed structure of Pu2MgNi4Sb3, as listed in Alexandria.

Values from the calculation:
symmetry	P-4m2 (115)

Lattice parameters (Å, degrees): 4.318 4.318 10.308 90.00 90.00 90.00
Sites, in units of the cell vectors:
Pu 0.500 0.000 0.239
Pu 0.000 0.500 0.761
Mg 0.500 0.500 0.500
Ni 0.500 0.500 0.000
Ni 0.000 0.000 0.000
Ni 0.500 0.000 0.632
Ni 0.000 0.500 0.368
Sb 0.000 0.000 0.500
Sb 0.500 0.000 0.869
Sb 0.000 0.500 0.131

***

10.
First-principles (PBE) data for a relaxed structure of Pu2MgSi3Ni4, as listed in Alexandria.

Values from the calculation:
symmetry	P-4m2 (115)

Lattice parameters (Å, degrees): 4.006 4.006 9.816 90.00 90.00 90.00
Sites, in units of the cell vectors:
Pu 0.500 0.000 0.241
Pu 0.000 0.500 0.759
Mg 0.500 0.500 0.500
Si 0.000 0.000 0.500
Si 0.500 0.000 0.877
Si 0.000 0.500 0.123
Ni 0.500 0.500 0.000
Ni 0.000 0.000 0.000
Ni 0.500 0.000 0.644
Ni 0.000 0.500 0.356

***

11.
First-principles (PBE) data for a relaxed structure of PuMgNiSn, as listed in Alexandria.

Values from the calculation:
symmetry	F-43m (216)
formation enthalpy at 0 K	-0.113	eV/atom

Lattice parameters (Å, degrees): 4.814 4.814 4.814 60.00 60.00 60.00
Sites, in units of the cell vectors:
Ni 0.000 0.000 0.000
Mg 0.500 0.500 0.500
Sn 0.250 0.250 0.250
Pu 0.750 0.750 0.750

***

12.
First-principles (PBE) data for a relaxed structure of PuMgTcNi, as listed in Alexandria.

Values from the calculation:
symmetry	F-43m (216)
formation enthalpy at 0 K	0.030	eV/atom

Lattice parameters (Å, degrees): 4.562 4.562 4.562 60.00 60.00 60.00
Sites, in units of the cell vectors:
Ni 0.000 0.000 0.000
Mg 0.250 0.250 0.250
Tc 0.500 0.500 0.500
Pu 0.750 0.750 0.750

***

| no. | total energy (eV per atom) | spin magnetization (μB per atom) |
| --- | --- | --- |
| 1 | -3.0174 | 0.00 |
| 2 | -7.3451 | 1.93 |
| 3 | -7.8327 | 1.21 |
| 4 | -8.6594 | 2.50 |
| 5 | -8.9704 | 2.82 |
| 6 | -7.2701 | 1.85 |
| 7 | -6.9533 | 1.32 |
| 8 | -7.5170 | 1.18 |
| 9 | -6.9848 | 1.10 |
| 10 | -7.4700 | 1.03 |
| 11 | -6.5404 | 1.39 |
| 12 | -7.9881 | 0.99 |